(1)
13
Lattice="7.8183 0.0000 0.0000 0.0000 7.8183 0.0000 0.0000 0.0000 7.8183" Properties=species:S:1:pos:R:3 comment="TbSm4Y8 PBE optimized geometry" e_tot_ev_per_cell=-68.61 delta_e_f_ev_per_atom=0.509 pbc="T T T"
Tb 0.0000 0.0000 0.0000
Sm 0.0000 0.0000 3.9091
Sm 0.0000 3.9091 0.0000
Sm 3.9091 0.0000 0.0000
Sm 3.9091 3.9091 3.9091
Y 2.0296 2.0296 2.0296
Y 2.0296 2.0296 5.7886
Y 2.0296 5.7886 2.0296
Y 2.0296 5.7886 5.7886
Y 5.7886 2.0296 2.0296
Y 5.7886 2.0296 5.7886
Y 5.7886 5.7886 2.0296
Y 5.7886 5.7886 5.7886


(2)
19
Lattice="8.7411 -4.1489 0.0000 8.7411 4.1489 0.0000 -2.9767 0.0000 9.6613" Properties=species:S:1:pos:R:3 comment="Pm5U2Te12 PBE optimized geometry" e_form_raw_ev_per_atom=-1.08 e_tot_ev_per_cell=-104.52 pbc="T T T"
Pm 0.0000 0.0000 0.0000
Pm 4.7160 0.0000 1.3205
Pm 3.5192 0.0000 6.5205
Pm 10.9864 0.0000 3.1408
Pm 9.7896 0.0000 8.3409
U 7.2528 1.9899 4.8307
U 7.2528 -1.9899 4.8307
Te -0.7650 0.0000 2.9419
Te 4.4427 1.9668 3.9127
Te 3.3892 2.0486 9.0467
Te 11.1164 2.0486 0.6147
Te 10.0629 1.9668 5.7487
Te 7.8522 0.0000 2.6109
Te 6.6535 0.0000 7.0505
Te 4.4427 -1.9668 3.9127
Te 3.3892 -2.0486 9.0467
Te 11.1164 -2.0486 0.6147
Te 10.0629 -1.9668 5.7487
Te 15.2706 0.0000 6.7194


(3)
8
Lattice="2.5925 1.4968 8.4727 -2.5925 1.4968 8.4727 0.0000 -2.9936 8.4727" Properties=species:S:1:pos:R:3 comment="Ce2Cd3Hg3 PBE optimized geometry" e_tot_ev_per_cell=-18.03 delta_e_f_ev_per_atom=-0.314 pbc="T T T"
Ce 0.0000 0.0000 0.0000
Ce 0.0000 0.0000 12.6243
Cd 0.0000 0.0000 6.2928
Cd 0.0000 0.0000 19.0485
Cd 0.0000 0.0000 22.2192
Hg 0.0000 0.0000 3.1732
Hg 0.0000 0.0000 9.4661
Hg 0.0000 0.0000 15.8096


What did we get for mass density? Answer: 5.11, 6.47, 10.26 g/cm3, in the order shown.